[1]
# KCO3, optimized geometry, DFT PBE
data_KCO3
_space_group_name_H-M_alt 'P 1'
_space_group_IT_number 1
_space_group_name_Hall 'P 1'
_cell_length_a 4.496
_cell_length_b 5.662
_cell_length_c 14.737
_cell_angle_alpha 90.00
_cell_angle_beta 105.32
_cell_angle_gamma 90.00
loop_
_atom_site_label
_atom_site_type_symbol
_atom_site_fract_x
_atom_site_fract_y
_atom_site_fract_z
K1 K 0.186 0.175 0.381
K2 K 0.186 0.325 0.881
K3 K 0.814 0.675 0.119
K4 K 0.814 0.825 0.619
C1 C 0.250 0.180 0.124
C2 C 0.250 0.320 0.624
C3 C 0.750 0.680 0.376
C4 C 0.750 0.820 0.876
O1 O 0.114 0.211 0.190
O2 O 0.114 0.289 0.690
O3 O 0.312 0.530 0.603
O4 O 0.312 0.970 0.103
O5 O 0.317 0.142 0.580
O6 O 0.317 0.358 0.080
O7 O 0.683 0.642 0.920
O8 O 0.683 0.858 0.420
O9 O 0.688 0.030 0.897
O10 O 0.688 0.470 0.397
O11 O 0.886 0.711 0.310
O12 O 0.886 0.789 0.810
# - magnetic moment (Bohr magnetons per cell) = 4.0
# - calculated total energy (eV per atom) = -6.47



[2]
# Gd2CuPd, optimized geometry, DFT PBE
data_Gd2CuPd
_space_group_name_H-M_alt 'P 1'
_space_group_IT_number 1
_space_group_name_Hall 'P 1'
_cell_length_a 4.994
_cell_length_b 4.994
_cell_length_c 3.538
_cell_angle_alpha 90.00
_cell_angle_beta 90.00
_cell_angle_gamma 90.00
loop_
_atom_site_label
_atom_site_type_symbol
_atom_site_fract_x
_atom_site_fract_y
_atom_site_fract_z
Gd1 Gd 0.000 0.500 0.000
Gd2 Gd 0.500 0.000 0.000
Cu1 Cu 0.000 0.000 0.500
Pd1 Pd 0.500 0.500 0.500
# - magnetic moment (Bohr magnetons per cell) = 14.4
# - D(E_F) (states/eV/f.u.) = 3.40
# - energy of formation (eV/f.u.) = -2.1



[3]
# FeSiRh2, optimized geometry, DFT PBE
data_FeSiRh2
_space_group_name_H-M_alt 'P 1'
_space_group_IT_number 1
_space_group_name_Hall 'P 1'
_cell_length_a 4.351
_cell_length_b 4.351
_cell_length_c 4.781
_cell_angle_alpha 101.75
_cell_angle_beta 101.75
_cell_angle_gamma 37.18
loop_
_atom_site_label
_atom_site_type_symbol
_atom_site_fract_x
_atom_site_fract_y
_atom_site_fract_z
Fe1 Fe 0.000 0.000 0.000
Si1 Si 0.500 0.500 0.500
Rh1 Rh 0.238 0.238 0.744
Rh2 Rh 0.762 0.762 0.256
# - magnetic moment (Bohr magnetons per cell) = 3.1
# - calculated total energy (eV per atom) = -7.45
# - D(E_F) (states/eV/f.u.) = 4.05



[4]
# RbSnI, optimized geometry, DFT PBE
data_RbSnI
_space_group_name_H-M_alt 'P 1'
_space_group_IT_number 1
_space_group_name_Hall 'P 1'
_cell_length_a 4.813
_cell_length_b 5.383
_cell_length_c 11.520
_cell_angle_alpha 90.41
_cell_angle_beta 90.17
_cell_angle_gamma 90.00
loop_
_atom_site_label
_atom_site_type_symbol
_atom_site_fract_x
_atom_site_fract_y
_atom_site_fract_z
Rb1 Rb 0.247 0.245 0.326
Rb2 Rb 0.753 0.755 0.674
Sn1 Sn 0.250 0.112 0.959
Sn2 Sn 0.750 0.888 0.041
I1 I 0.253 0.256 0.654
I2 I 0.747 0.744 0.346
# - magnetic moment (Bohr magnetons per cell) = 0.0
# - calculated total energy (eV per atom) = -2.83
# - D(E_F) (states/eV/f.u.) = 0.87



[5]
# La3ZnGa2Au6, optimized geometry, DFT PBE
data_La3ZnGa2Au6
_space_group_name_H-M_alt 'P 1'
_space_group_IT_number 1
_space_group_name_Hall 'P 1'
_cell_length_a 6.257
_cell_length_b 6.257
_cell_length_c 8.449
_cell_angle_alpha 90.00
_cell_angle_beta 90.00
_cell_angle_gamma 120.00
loop_
_atom_site_label
_atom_site_type_symbol
_atom_site_fract_x
_atom_site_fract_y
_atom_site_fract_z
La1 La 0.000 0.000 0.000
La2 La 0.333 0.667 0.637
La3 La 0.667 0.333 0.363
Zn1 Zn 0.000 0.000 0.500
Ga1 Ga 0.333 0.667 0.026
Ga2 Ga 0.667 0.333 0.974
Au1 Au 0.178 0.356 0.285
Au2 Au 0.178 0.822 0.285
Au3 Au 0.356 0.178 0.715
Au4 Au 0.644 0.822 0.285
Au5 Au 0.822 0.178 0.715
Au6 Au 0.822 0.644 0.715
# - magnetic moment (Bohr magnetons per cell) = 0.0
# - D(E_F) (states/eV/f.u.) = 7.27
# - energy of formation (eV/f.u.) = -6.4



[6]
# RbTc2F, optimized geometry, DFT PBE
data_RbTc2F
_space_group_name_H-M_alt 'P 1'
_space_group_IT_number 1
_space_group_name_Hall 'P 1'
_cell_length_a 17.080
_cell_length_b 17.080
_cell_length_c 17.080
_cell_angle_alpha 168.20
_cell_angle_beta 168.20
_cell_angle_gamma 16.72
loop_
_atom_site_label
_atom_site_type_symbol
_atom_site_fract_x
_atom_site_fract_y
_atom_site_fract_z
Rb1 Rb 0.000 0.000 0.000
Rb2 Rb 0.750 0.250 0.500
Tc1 Tc 0.124 0.625 0.999
Tc2 Tc 0.375 0.374 0.499
Tc3 Tc 0.626 0.125 0.001
Tc4 Tc 0.875 0.876 0.501
F1 F 0.250 0.750 0.500
F2 F 0.500 0.500 0.000
# - magnetic moment (Bohr magnetons per cell) = 0.0
# - D(E_F) (states/eV/f.u.) = 4.15
# - offset from the most stable computed form (eV per atom) = 0.000



What is the magnetic moment in the third record? 3.1 Bohr magnetons per cell